Entry 1:
The following is a PBE calculation of a geometry-optimized NdAl structure, from OQMD via LeMat-Bulk.

Total energy, eV/f.u.: -8.6
Size of the total moment, μB/f.u.: 0.001

abc: 3.536 3.536 5.002
angles: 90.00 90.00 120.00
Fractional positions:
Nd 0.000 0.000 0.000
Al 0.333 0.667 0.500

=====

Entry 2:
The following is a PBE calculation of a geometry-optimized Nd3Al structure, from OQMD via LeMat-Bulk.

Total energy, eV/f.u.: -18.1
Relative energy among the computed polymorphs, eV/atom: 0.154
Size of the total moment, μB/f.u.: 0.591

abc: 5.506 5.506 5.506
angles: 60.00 60.00 60.00
Fractional positions:
Nd 0.000 0.000 0.000
Nd 0.250 0.250 0.250
Nd 0.750 0.750 0.750
Al 0.500 0.500 0.500

=====

Entry 3:
The following is a PBE calculation of a geometry-optimized Nd3Al structure, from OQMD via LeMat-Bulk.

Total energy, eV/f.u.: -18.7
Relative energy among the computed polymorphs, eV/atom: 0.008
Size of the total moment, μB/f.u.: 0.022

abc: 4.904 4.904 4.904
angles: 90.00 90.00 90.00
Fractional positions:
Nd 0.000 0.000 0.500
Nd 0.000 0.500 0.000
Nd 0.500 0.000 0.000
Al 0.500 0.500 0.500

=====

Entry 4:
The following is a PBE calculation of a geometry-optimized NdAl structure, from OQMD via LeMat-Bulk.

Total energy, eV/f.u.: -7.4
Size of the total moment, μB/f.u.: 1.526

abc: 5.382 5.382 6.162
angles: 90.00 90.00 120.00
Fractional positions:
Nd 0.333 0.667 0.250
Nd 0.667 0.333 0.750
Al 0.333 0.667 0.750
Al 0.667 0.333 0.250

=====

Entry 5:
The following is a PBE calculation of a geometry-optimized Nd3Al structure, from OQMD via LeMat-Bulk.

Total energy, eV/f.u.: -18.7
Relative energy among the computed polymorphs, eV/atom: 0.000
Size of the total moment, μB/f.u.: 0.071

abc: 7.105 7.105 5.412
angles: 90.00 90.00 120.00
Fractional positions:
Nd 0.178 0.356 0.250
Nd 0.178 0.822 0.250
Nd 0.356 0.178 0.750
Nd 0.644 0.822 0.250
Nd 0.822 0.178 0.750
Nd 0.822 0.644 0.750
Al 0.333 0.667 0.750
Al 0.667 0.333 0.250

=====

Entry 6:
The following is a PBE calculation of a geometry-optimized NdAl structure, from OQMD via LeMat-Bulk.

Total energy, eV/f.u.: -9.3
Size of the total moment, μB/f.u.: 0.000

abc: 5.989 11.829 5.764
angles: 90.00 90.00 90.00
Fractional positions:
Nd 0.095 0.166 0.250
Nd 0.095 0.334 0.750
Nd 0.336 0.011 0.750
Nd 0.336 0.489 0.250
Nd 0.664 0.511 0.750
Nd 0.664 0.989 0.250
Nd 0.905 0.666 0.250
Nd 0.905 0.834 0.750
Al 0.167 0.601 0.750
Al 0.167 0.899 0.250
Al 0.428 0.750 0.000
Al 0.428 0.750 0.500
Al 0.572 0.250 0.000
Al 0.572 0.250 0.500
Al 0.833 0.101 0.750
Al 0.833 0.399 0.250